Ta2CdMo | PBE | relaxed

Summary:
D(E_F), states/eV/atom: 0.7258
Calculated density, g cm⁻³: 12.009
Calculated formation energy, eV/atom: 0.8231
Space-group type: I-42d (122)

abc: 5.994 5.994 5.994
angles: 102.76 102.76 123.93
Fractional coordinates of all 8 atoms:
1 Ta 0.095 0.625 0.970
2 Ta 0.375 0.345 0.470
3 Ta 0.655 0.125 0.030
4 Ta 0.875 0.905 0.530
5 Cd 0.250 0.750 0.500
6 Cd 0.500 0.500 0.000
7 Mo 0.000 0.000 0.000
8 Mo 0.750 0.250 0.500